1.
Tb2Ho5Er2 after structural relaxation. Source: Alexandria via LeMat-Bulk, functional PBE-GGA.

Results
**DOS at the Fermi energy**: 11.91 states/eV per cell
**Calculated density**: 8.8 Mg/m³
**Electronic total energy**: -41.1 eV/cell
**Offset from the most stable computed form**: 0 meV per atom
**ΔE_f**: 0.02 eV per atom

Structure (CIF):
```
data_Tb2Ho5Er2
_chemical_formula_sum 'Tb2 Ho5 Er2'
_space_group_name_H-M_alt 'P -1'
_space_group_IT_number 2
_space_group_name_Hall '-P 1'
_cell_length_a 3.514
_cell_length_b 7.880
_cell_length_c 10.558
_cell_angle_alpha 102.89
_cell_angle_beta 90.09
_cell_angle_gamma 102.86
loop_
_atom_site_label
_atom_site_fract_x
_atom_site_fract_y
_atom_site_fract_z
Tb1 0.000 0.000 0.167
Ho1 0.000 0.000 0.500
Ho2 0.333 0.666 0.278
Ho3 0.333 0.666 0.944
Er1 0.333 0.666 0.610
```


2.
CoP2W after structural relaxation. Source: Alexandria via LeMat-Bulk, functional PBE-GGA.

Results
**DOS at the Fermi energy**: 5.33 states/eV per cell
**Calculated density**: 9.4 Mg/m³
**Electronic total energy**: -60.0 eV/cell
**ΔE_f**: 0.23 eV per atom

Structure (CIF):
```
data_CoP2W
_chemical_formula_sum 'Co2 P4 W2'
_space_group_name_H-M_alt 'C m m m'
_space_group_IT_number 65
_space_group_name_Hall '-C 2 2'
_cell_length_a 3.139
_cell_length_b 4.824
_cell_length_c 7.094
_cell_angle_alpha 90.00
_cell_angle_beta 90.00
_cell_angle_gamma 90.00
loop_
_atom_site_label
_atom_site_fract_x
_atom_site_fract_y
_atom_site_fract_z
Co1 0.000 0.000 0.000
P1 0.000 0.500 0.230
W1 0.000 0.000 0.500
```


3.
Tm5Th after structural relaxation. Source: Alexandria via LeMat-Bulk, functional PBE-GGA.

Results
**DOS at the Fermi energy**: 8.33 states/eV per cell
**Calculated density**: 9.8 Mg/m³
**Electronic total energy**: -29.6 eV/cell
**Offset from the most stable computed form**: 9 meV per atom
**ΔE_f**: 0.03 eV per atom

Structure (CIF):
```
data_Tm5Th
_chemical_formula_sum 'Tm5 Th1'
_space_group_name_H-M_alt 'P 4/m m m'
_space_group_IT_number 123
_space_group_name_Hall '-P 4 2'
_cell_length_a 3.502
_cell_length_b 3.502
_cell_length_c 14.947
_cell_angle_alpha 90.00
_cell_angle_beta 90.00
_cell_angle_gamma 90.00
loop_
_atom_site_label
_atom_site_fract_x
_atom_site_fract_y
_atom_site_fract_z
Tm1 0.000 0.000 0.000
Tm2 0.000 0.000 0.334
Tm3 0.500 0.500 0.164
Th1 0.500 0.500 0.500
```